Record 1
Below is a relaxed Pr4Nd6Th crystal, with properties calculated at the PBE level.

Results
Total magnetization = 0.000 μB per formula unit
Formation enthalpy at 0 K = 129.2 meV/atom
Space group = No. 63

Lattice parameters (Å, degrees): 6.0280 5.7624 26.2635 90.00 90.00 121.54
Sites, in units of the cell vectors:
1 Nd 0.7945 0.5890 0.1033
2 Nd 0.5000 0.0000 0.0000
3 Nd 0.2055 0.4110 0.6033
4 Nd 0.4364 0.8728 0.2500
5 Nd 0.1097 0.2195 0.3165
6 Nd 0.7945 0.5890 0.3967
7 Nd 0.8903 0.7805 0.6835
8 Nd 0.5636 0.1272 0.7500
9 Nd 0.1097 0.2195 0.1835
10 Nd 0.2055 0.4110 0.8967
11 Nd 0.5000 0.0000 0.5000
12 Nd 0.8903 0.7805 0.8165
13 Pr 0.5560 0.1120 0.8768
14 Pr 0.8532 0.7064 0.9563
15 Pr 0.4440 0.8880 0.1232
16 Pr 0.1468 0.2936 0.0437
17 Pr 0.8532 0.7064 0.5437
18 Pr 0.4440 0.8880 0.3768
19 Pr 0.5560 0.1120 0.6232
20 Pr 0.1468 0.2936 0.4563
21 Th 0.2226 0.4451 0.7500
22 Th 0.7774 0.5549 0.2500


Record 2
Below is a relaxed Pr6Nd12Th crystal, with properties calculated at the PBE level.

Results
Total magnetization = 0.000 μB per formula unit
Formation enthalpy at 0 K = 117.0 meV/atom
Space group = No. 166

Lattice parameters (Å, degrees): 8.9646 8.9646 8.9646 98.24 98.24 98.24
Sites, in units of the cell vectors:
1 Nd 0.1703 0.5849 0.5849
2 Nd 0.7382 0.9999 0.2618
3 Nd 0.4151 0.4151 0.8297
4 Nd 0.8297 0.4151 0.4151
5 Nd 0.7382 0.2618 0.0001
6 Nd 0.2618 0.7382 0.9999
7 Nd 0.4151 0.8297 0.4151
8 Nd 0.9999 0.2618 0.7382
9 Nd 0.5849 0.1703 0.5849
10 Nd 0.5849 0.5849 0.1703
11 Nd 0.0001 0.7382 0.2618
12 Nd 0.2618 0.0001 0.7382
13 Pr 0.4049 0.1404 0.1404
14 Pr 0.1404 0.1404 0.4049
15 Pr 0.8596 0.8596 0.5951
16 Pr 0.1404 0.4049 0.1404
17 Pr 0.5951 0.8596 0.8596
18 Pr 0.8596 0.5951 0.8596
19 Th 0.0000 0.0000 0.0000


Record 3
Below is a relaxed Pr8Nd6Th crystal, with properties calculated at the PBE level.

Results
Total magnetization = 0.000 μB per formula unit
Formation enthalpy at 0 K = 111.6 meV/atom
Space group = No. 148

Lattice parameters (Å, degrees): 8.9139 8.9139 8.9139 63.48 63.48 63.48
Sites, in units of the cell vectors:
1 Nd 0.0981 0.5400 0.2392
2 Nd 0.4600 0.7608 0.9019
3 Nd 0.7608 0.9019 0.4600
4 Nd 0.9019 0.4600 0.7608
5 Nd 0.2392 0.0981 0.5400
6 Nd 0.5400 0.2392 0.0981
7 Pr 0.7557 0.1145 0.7143
8 Pr 0.1145 0.7143 0.7557
9 Pr 0.2857 0.2443 0.8855
10 Pr 0.5777 0.5777 0.5777
11 Pr 0.7143 0.7557 0.1145
12 Pr 0.2443 0.8855 0.2857
13 Pr 0.4223 0.4223 0.4223
14 Pr 0.8855 0.2857 0.2443
15 Th 0.0000 0.0000 0.0000


Record 4
Below is a relaxed Pr6Nd4Th crystal, with properties calculated at the PBE level.

Results
Total magnetization = 0.000 μB per formula unit
Formation enthalpy at 0 K = 129.6 meV/atom
Space group = No. 63

Lattice parameters (Å, degrees): 6.0406 5.7734 26.2864 90.00 90.00 121.54
Sites, in units of the cell vectors:
1 Nd 0.5565 0.1130 0.6233
2 Nd 0.8532 0.7064 0.5435
3 Nd 0.5565 0.1130 0.8767
4 Nd 0.8532 0.7064 0.9565
5 Nd 0.1468 0.2936 0.0435
6 Nd 0.1468 0.2936 0.4565
7 Nd 0.4435 0.8870 0.1233
8 Nd 0.4435 0.8870 0.3767
9 Pr 0.7940 0.5881 0.1027
10 Pr 0.8904 0.7808 0.6828
11 Pr 0.5000 0.0000 0.0000
12 Pr 0.4366 0.8732 0.2500
13 Pr 0.1096 0.2192 0.3172
14 Pr 0.2060 0.4119 0.8973
15 Pr 0.2060 0.4119 0.6027
16 Pr 0.7940 0.5881 0.3973
17 Pr 0.1096 0.2192 0.1828
18 Pr 0.5634 0.1268 0.7500
19 Pr 0.5000 0.0000 0.5000
20 Pr 0.8904 0.7808 0.8172
21 Th 0.7783 0.5566 0.2500
22 Th 0.2217 0.4434 0.7500


Record 5
Below is a relaxed Pr3NdTh2 crystal, with properties calculated at the PBE level.

Results
Total magnetization = 0.000 μB per formula unit
Formation enthalpy at 0 K = 75.4 meV/atom
Space group = No. 65

Lattice parameters (Å, degrees): 5.1441 5.2175 8.1479 90.00 108.40 90.00
Sites, in units of the cell vectors:
1 Pr 0.6694 0.0000 0.3388
2 Pr 0.3306 0.0000 0.6612
3 Pr 0.5000 0.5000 0.0000
4 Nd 0.0000 0.0000 0.0000
5 Th 0.1701 0.5000 0.3401
6 Th 0.8299 0.5000 0.6599


Record 6
Below is a relaxed PrNd5Th2 crystal, with properties calculated at the PBE level.

Results
Total magnetization = 0.000 μB per formula unit
Formation enthalpy at 0 K = 105.0 meV/atom
Space group = No. 71

Lattice parameters (Å, degrees): 3.5894 11.4565 9.0704 129.16 101.41 90.00
Sites, in units of the cell vectors:
1 Th 0.7418 0.2418 0.4836
2 Th 0.2582 0.7582 0.5164
3 Pr 0.0000 0.0000 0.0000
4 Nd 0.3690 0.1349 0.7380
5 Nd 0.6310 0.8651 0.2620
6 Nd 0.3690 0.6031 0.7380
7 Nd 0.6310 0.3969 0.2620
8 Nd 0.0000 0.5000 0.0000


Record 7
Below is a relaxed Pr4NdTh2 crystal, with properties calculated at the PBE level.

Results
Total magnetization = 0.000 μB per formula unit
Formation enthalpy at 0 K = 39.2 meV/atom
Space group = No. 166

Lattice parameters (Å, degrees): 3.6752 3.6752 21.0470 84.99 84.99 60.00
Sites, in units of the cell vectors:
1 Th 0.1893 0.1893 0.4322
2 Th 0.8107 0.8107 0.5678
3 Pr 0.0967 0.0967 0.7100
4 Pr 0.3810 0.3810 0.8570
5 Pr 0.6190 0.6190 0.1430
6 Pr 0.9033 0.9033 0.2900
7 Nd 0.0000 0.0000 0.0000


Record 8
Below is a relaxed Pr5Nd2Th4 crystal, with properties calculated at the PBE level.

Results
Total magnetization = 0.000 μB per formula unit
Formation enthalpy at 0 K = 312.4 meV/atom
Space group = No. 12

Lattice parameters (Å, degrees): 3.4844 9.5996 12.2041 84.60 98.21 90.00
Sites, in units of the cell vectors:
1 Nd 0.7387 0.6855 0.4774
2 Nd 0.2613 0.3145 0.5226
3 Pr 0.8727 0.5327 0.7455
4 Pr 0.8498 0.9249 0.6996
5 Pr 0.1502 0.0751 0.3004
6 Pr 0.1273 0.4673 0.2545
7 Pr 0.5000 0.0000 0.0000
8 Th 0.9975 0.6736 0.9951
9 Th 0.0025 0.3264 0.0049
10 Th 0.6108 0.7831 0.2217
11 Th 0.3892 0.2169 0.7783


Record 9
Below is a relaxed Pr6NdTh2 crystal, with properties calculated at the PBE level.

Results
Total magnetization = 0.000 μB per formula unit
Formation enthalpy at 0 K = 77.3 meV/atom
Space group = No. 187

Lattice parameters (Å, degrees): 3.6489 3.6489 27.6371 90.00 90.00 120.00
Sites, in units of the cell vectors:
1 Pr 0.3333 0.6667 0.2231
2 Pr 0.6667 0.3333 0.1100
3 Pr 0.3333 0.6667 0.7769
4 Pr 0.6667 0.3333 0.8900
5 Pr 0.3333 0.6667 0.5633
6 Pr 0.3333 0.6667 0.4367
7 Th 0.6667 0.3333 0.6691
8 Th 0.6667 0.3333 0.3309
9 Nd 0.3333 0.6667 0.0000


Record 10
Below is a relaxed Pr12Nd3Th crystal, with properties calculated at the PBE level.

Results
Total magnetization = 0.000 μB per formula unit
Formation enthalpy at 0 K = 22.4 meV/atom
Space group = No. 123

Lattice parameters (Å, degrees): 5.2325 5.2325 20.9281 90.00 90.00 90.00
Sites, in units of the cell vectors:
1 Pr 0.0000 0.5000 0.1216
2 Pr 0.5000 0.0000 0.6257
3 Pr 0.5000 0.0000 0.8784
4 Pr 0.5000 0.5000 0.5000
5 Pr 0.0000 0.5000 0.6257
6 Pr 0.0000 0.5000 0.8784
7 Pr 0.5000 0.0000 0.1216
8 Pr 0.5000 0.5000 0.0000
9 Pr 0.5000 0.5000 0.2502
10 Pr 0.5000 0.0000 0.3743
11 Pr 0.5000 0.5000 0.7498
12 Pr 0.0000 0.5000 0.3743
13 Nd 0.0000 0.0000 0.2493
14 Nd 0.0000 0.0000 0.5000
15 Nd 0.0000 0.0000 0.7507
16 Th 0.0000 0.0000 0.0000


Record 11
Below is a relaxed Pr2Nd7Th2 crystal, with properties calculated at the PBE level.

Results
Total magnetization = 0.000 μB per formula unit
Formation enthalpy at 0 K = 149.4 meV/atom
Space group = No. 12

Lattice parameters (Å, degrees): 10.9426 3.6659 10.9426 77.08 113.23 102.92
Sites, in units of the cell vectors:
1 Nd 0.4049 0.5692 0.5951
2 Nd 0.5951 0.4308 0.4049
3 Nd 0.0000 0.0000 0.0000
4 Nd 0.9154 0.1701 0.5871
5 Nd 0.5871 0.8299 0.9154
6 Nd 0.0846 0.8299 0.4129
7 Nd 0.4129 0.1701 0.0846
8 Th 0.2546 0.5000 0.2546
9 Th 0.7454 0.5000 0.7454
10 Pr 0.7945 0.2416 0.2055
11 Pr 0.2055 0.7584 0.7945


Record 12
Below is a relaxed Pr10Nd6Th crystal, with properties calculated at the PBE level.

Results
Total magnetization = 0.000 μB per formula unit
Formation enthalpy at 0 K = 140.8 meV/atom
Space group = No. 162

Lattice parameters (Å, degrees): 7.1291 9.9860 9.9860 120.00 90.00 90.00
Sites, in units of the cell vectors:
1 Nd 0.6961 0.6285 0.0000
2 Nd 0.6961 0.3715 0.3715
3 Nd 0.3039 0.3715 0.0000
4 Nd 0.6961 0.0000 0.6285
5 Nd 0.3039 0.0000 0.3715
6 Nd 0.3039 0.6285 0.6285
7 Pr 0.0000 0.6667 0.3333
8 Pr 0.8151 0.7288 0.7288
9 Pr 0.5000 0.6667 0.3333
10 Pr 0.0000 0.3333 0.6667
11 Pr 0.1849 0.2712 0.2712
12 Pr 0.1849 0.7288 0.0000
13 Pr 0.1849 0.0000 0.7288
14 Pr 0.8151 0.0000 0.2712
15 Pr 0.5000 0.3333 0.6667
16 Pr 0.8151 0.2712 0.0000
17 Th 0.5000 0.0000 0.0000